1.
The following is a DFT calculation (PBE) of a relaxed Rb2AcNpO6 crystal.

```
Rb2AcNpO6
1.0
6.397 0.000 0.000
0.000 9.046 0.000
0.000 0.000 6.397
Rb Ac Np O
4 2 2 12
Direct
0.250 0.000 0.250 Rb
0.250 0.500 0.250 Rb
0.750 0.000 0.750 Rb
0.750 0.500 0.750 Rb
0.250 0.250 0.750 Ac
0.750 0.750 0.250 Ac
0.250 0.750 0.749 Np
0.750 0.250 0.251 Np
0.025 0.750 0.524 O
0.025 0.750 0.975 O
0.250 0.525 0.750 O
0.250 0.975 0.750 O
0.475 0.750 0.524 O
0.475 0.750 0.975 O
0.525 0.250 0.025 O
0.525 0.250 0.476 O
0.750 0.025 0.250 O
0.750 0.475 0.250 O
0.975 0.250 0.025 O
0.975 0.250 0.476 O
```

Values from the calculation:
VASP energy = -150.01 eV for the cell shown
formation energy without anion corrections = -2626.9 meV/atom
M_tot = 0.0 μB per cell
crystal system = orthorhombic

2.
The following is a DFT calculation (PBE) of a relaxed NdSn2HgTe4 crystal.

```
NdSn2HgTe4
1.0
7.938 0.000 0.000
0.000 4.470 0.000
-2.738 0.000 7.486
Nd Sn Hg Te
1 2 1 4
Direct
0.000 0.000 0.000 Nd
0.500 0.000 0.500 Sn
0.500 0.500 0.000 Sn
0.000 0.500 0.500 Hg
0.248 0.000 0.754 Te
0.255 0.500 0.241 Te
0.745 0.500 0.759 Te
0.752 0.000 0.246 Te
```

Values from the calculation:
VASP energy = -29.87 eV for the cell shown
formation energy without anion corrections = -529.0 meV/atom
M_tot = 0.0 μB per cell
crystal system = monoclinic

3.
The following is a DFT calculation (PBE) of a relaxed CoIrRh4 crystal.

```
CoIrRh4
1.0
6.939 0.000 0.000
0.000 4.705 0.000
-0.598 0.000 5.093
Co Ir Rh
2 2 8
Direct
0.000 0.079 0.250 Co
0.000 0.921 0.750 Co
0.500 0.419 0.250 Ir
0.500 0.581 0.750 Ir
0.163 0.413 0.918 Rh
0.163 0.587 0.418 Rh
0.327 0.084 0.580 Rh
0.327 0.916 0.080 Rh
0.673 0.084 0.920 Rh
0.673 0.916 0.420 Rh
0.837 0.413 0.582 Rh
0.837 0.587 0.082 Rh
```

Values from the calculation:
VASP energy = -90.23 eV for the cell shown
energy above the lowest structure with this stoichiometry = 0.000 eV/atom
M_tot = 6.0 μB per cell
crystal system = monoclinic

M_tot of number 2 (NdSn2HgTe4)? 0.0 μB per cell

What is the VASP energy in the third record? -90.23 eV for the cell shown

Which value of M_tot does entry 3 give? 6.0 μB per cell